DFT (PBEsol) results for crystalline ZrZn4Mo at its relaxed geometry.

a = 4.9880 Å, b = 4.9880 Å, c = 4.9880 Å
α = 60.00°, β = 60.00°, γ = 60.00°
Atoms (fractional coordinates):
Mo  0.0000  0.0000  0.0000
Zn  0.3743  0.3743  0.3743
Zn  0.3743  0.3743  0.8771
Zn  0.8771  0.3743  0.3743
Zn  0.3743  0.8771  0.3743
Zr  0.7500  0.7500  0.7500

Properties
Spin magnetization   0.00 μB per formula unit
DOS(E_F)   2.6 states/eV per cell
Space-group type   No. 216
V   14.63 Å³/atom
Total DFT energy (no corrections)   -28.40 eV for the cell shown
Calculated formation energy   -0.202 eV per atom